[1]
The following is a DFT calculation (PBE) of a relaxed Sr2InRe crystal.

POSCAR file:
```
Sr2InRe
1.0
4.6274 0.0000 0.0000
0.0000 2.3316 5.8711
0.0000 -2.3316 5.8711
Sr In Re
2 1 1
direct
0.0000 0.0000 0.0000 Sr
0.5000 0.2860 0.2860 Sr
0.0000 0.7026 0.7026 In
0.5000 0.5867 0.5867 Re
```

Values from the calculation:
Space-group type: Amm2
DFT total energy (eV/atom): -4.123
D(E_F) (states/eV/cell): 3.7

[2]
The following is a DFT calculation (PBE) of a relaxed SrInRe2 crystal.

POSCAR file:
```
SrInRe2
1.0
-1.8367 2.5392 4.8701
1.8367 -2.5392 4.8701
1.8367 2.5392 -4.8701
Sr In Re
1 1 2
direct
0.0000 0.0000 0.0000 Sr
0.7153 0.2153 0.5000 In
0.2858 0.7858 0.5000 Re
0.4449 0.4449 0.0000 Re
```

Values from the calculation:
Space-group type: Imm2
DFT total energy (eV/atom): -6.631
D(E_F) (states/eV/cell): 3.4

[3]
The following is a DFT calculation (PBE) of a relaxed Sr2InRe crystal.

POSCAR file:
```
Sr2InRe
1.0
1.7400 1.0046 10.6874
-1.7400 1.0046 10.6874
0.0000 -2.0092 10.6874
Sr In Re
2 1 1
direct
0.2413 0.2413 0.2413 Sr
0.7587 0.7587 0.7587 Sr
0.0000 0.0000 0.0000 In
0.5000 0.5000 0.5000 Re
```

Values from the calculation:
Space-group type: R-3m
DFT total energy (eV/atom): -3.833
D(E_F) (states/eV/cell): 2.5

[4]
The following is a DFT calculation (PBE) of a relaxed SrInRe2 crystal.

POSCAR file:
```
SrInRe2
1.0
2.8092 0.0000 0.0000
0.0000 5.1468 0.0000
-0.1415 0.0000 6.0146
Sr In Re
1 1 2
direct
0.0000 0.0000 0.0000 Sr
0.5000 0.0000 0.5000 In
0.3891 0.5000 0.6911 Re
0.6109 0.5000 0.3089 Re
```

Values from the calculation:
Space-group type: P2/m
DFT total energy (eV/atom): -6.444
D(E_F) (states/eV/cell): 2.9

[5]
The following is a DFT calculation (PBE) of a relaxed SrInRe2 crystal.

POSCAR file:
```
SrInRe2
1.0
4.9372 -1.8978 0.0000
4.9372 1.8978 0.0000
-1.6853 0.0000 5.4534
Sr In Re
1 1 2
direct
0.0000 0.0000 0.0000 Sr
0.5000 0.5000 0.5000 In
0.2395 0.2395 0.6189 Re
0.7605 0.7605 0.3811 Re
```

Values from the calculation:
Space-group type: C2/m
DFT total energy (eV/atom): -6.713
D(E_F) (states/eV/cell): 3.7

[6]
The following is a DFT calculation (PBE) of a relaxed SrInRe2 crystal.

POSCAR file:
```
SrInRe2
1.0
-4.0776 4.0776 2.7284
4.0776 -4.0776 2.7284
4.0776 4.0776 -2.7284
Sr In Re
2 2 4
direct
0.0000 0.0000 0.0000 Sr
0.7500 0.2500 0.5000 Sr
0.2500 0.7500 0.5000 In
0.5000 0.5000 0.0000 In
0.1642 0.6250 0.0392 Re
0.3750 0.4142 0.5392 Re
0.5858 0.1250 0.9608 Re
0.8750 0.8358 0.4608 Re
```

Values from the calculation:
Space-group type: I-42d
DFT total energy (eV/atom): -5.834
D(E_F) (states/eV/cell): 8.6

[7]
The following is a DFT calculation (PBE) of a relaxed SrInRe2 crystal.

POSCAR file:
```
SrInRe2
1.0
1.4935 0.8623 10.0784
-1.4935 0.8623 10.0784
0.0000 -1.7246 10.0784
Sr In Re
1 1 2
direct
0.0000 0.0000 0.0000 Sr
0.5000 0.5000 0.5000 In
0.2425 0.2425 0.2425 Re
0.7575 0.7575 0.7575 Re
```

Values from the calculation:
Space-group type: R-3m
DFT total energy (eV/atom): -6.214
D(E_F) (states/eV/cell): 6.1

[8]
The following is a DFT calculation (PBE) of a relaxed SrIn2Re4 crystal.

POSCAR file:
```
SrIn2Re4
1.0
-2.3727 2.3727 7.0301
2.3727 -2.3727 7.0301
2.3727 2.3727 -7.0301
Sr In Re
1 2 4
direct
0.0000 0.0000 0.0000 Sr
0.3740 0.3740 0.0000 In
0.6260 0.6260 0.0000 In
0.0000 0.5000 0.5000 Re
0.1861 0.1861 0.0000 Re
0.5000 0.0000 0.5000 Re
0.8139 0.8139 0.0000 Re
```

Values from the calculation:
Space-group type: I4/mmm
DFT total energy (eV/atom): -5.171
D(E_F) (states/eV/cell): 10.3

| no. | ΔE_f (eV per atom) |
| --- | --- |
| 1 | 0.515 |
| 2 | 0.698 |
| 3 | 0.805 |
| 4 | 0.885 |
| 5 | 0.616 |
| 6 | 1.495 |
| 7 | 1.115 |
| 8 | 2.965 |